Model one:
This record from Alexandria describes crystalline FeReI2N at its relaxed geometry. The functional is PBE.

Output
Crystal system: tetragonal

a b c (Å): 5.572 5.572 3.761
angles (deg): 90.00 90.00 90.00
Space group P4/mmm (No. 123)
One atom of each set of equivalent atoms:
Fe (0.000, 0.000, 0.000) x1
Re (0.500, 0.500, 0.500) x1
I (0.000, 0.500, 0.500) x2
N (0.500, 0.500, 0.000) x1

Model two:
This record from Alexandria describes crystalline FeReI2N at its relaxed geometry. The functional is PBE.

Output
Crystal system: tetragonal

a b c (Å): 5.208 5.208 3.390
angles (deg): 90.00 90.00 90.00
Space group P4/mmm (No. 123)
One atom of each set of equivalent atoms:
Fe (0.000, 0.000, 0.000) x1
Re (0.500, 0.500, 0.500) x1
I (0.000, 0.500, 0.000) x2
N (0.000, 0.000, 0.500) x1

Most favorable structure: model one. The second most favorable one is 385 meV per atom above it.

Model one:
This record from Alexandria describes crystalline FeRhIN2 at its relaxed geometry. The functional is PBE.

Output
Crystal system: tetragonal

a b c (Å): 3.774 3.774 7.659
angles (deg): 90.00 90.00 90.00
Space group P4/mmm (No. 123)
One atom of each set of equivalent atoms:
Fe (0.000, 0.000, 0.000) x1
Rh (0.500, 0.500, 0.500) x1
I (0.500, 0.500, 0.000) x1
N (0.000, 0.500, 0.500) x2

Model two:
This record from Alexandria describes crystalline FeRhIN2 at its relaxed geometry. The functional is PBE.

Output
Crystal system: tetragonal

a b c (Å): 3.618 3.618 6.219
angles (deg): 90.00 90.00 90.00
Space group P4/mmm (No. 123)
One atom of each set of equivalent atoms:
Fe (0.000, 0.000, 0.000) x1
Rh (0.500, 0.500, 0.500) x1
I (0.000, 0.000, 0.500) x1
N (0.000, 0.500, 0.000) x2

Most favorable structure: model two. The second most favorable one is 185 meV per atom above it.

Model one:
This record from Alexandria describes crystalline FeRuIN2 at its relaxed geometry. The functional is PBE.

Output
Crystal system: tetragonal

a b c (Å): 3.628 3.628 6.121
angles (deg): 90.00 90.00 90.00
Space group P4/mmm (No. 123)
One atom of each set of equivalent atoms:
Fe (0.000, 0.000, 0.000) x1
Ru (0.500, 0.500, 0.500) x1
I (0.000, 0.000, 0.500) x1
N (0.000, 0.500, 0.000) x2

Model two:
This record from Alexandria describes crystalline FeRuIN2 at its relaxed geometry. The functional is PBE.

Output
Crystal system: tetragonal

a b c (Å): 3.814 3.814 6.023
angles (deg): 90.00 90.00 90.00
Space group P4/mmm (No. 123)
One atom of each set of equivalent atoms:
Fe (0.000, 0.000, 0.000) x1
Ru (0.500, 0.500, 0.500) x1
I (0.500, 0.500, 0.000) x1
N (0.000, 0.500, 0.500) x2

Most favorable structure: model two. The second most favorable one is 205 meV per atom above it.